# ZnSF2 (GGA-PBEsol, relaxed)
# * calculated total energy: -3.36 eV/atom
# * formation energy (no corrections): -0.91 eV per atom
# * calculated volume: 17.55 A^3/atom
data_ZnSF2
_chemical_formula_sum 'Zn2 S2 F4'
_cell_length_a 5.715
_cell_length_b 5.715
_cell_length_c 5.715
_cell_angle_alpha 114.76
_cell_angle_beta 114.76
_cell_angle_gamma 99.35
_symmetry_space_group_name_H-M 'P 1'
_symmetry_Int_Tables_number 1
loop_
_symmetry_equiv_pos_as_xyz
'x,y,z'
loop_
_atom_site_label
_atom_site_type_symbol
_atom_site_fract_x
_atom_site_fract_y
_atom_site_fract_z
Zn1 Zn 0.000 0.000 0.000
Zn2 Zn 0.750 0.250 0.500
S1 S 0.250 0.750 0.500
S2 S 0.500 0.500 0.000
F1 F 0.375 0.024 0.149
F2 F 0.774 0.625 0.649
F3 F 0.875 0.226 0.851
F4 F 0.976 0.125 0.351

# ZrS2F (GGA-PBEsol, relaxed)
# * calculated total energy: -5.84 eV/atom
# * formation energy (no corrections): -0.89 eV per atom
# * calculated volume: 22.73 A^3/atom
data_ZrS2F
_chemical_formula_sum 'Zr2 S4 F2'
_cell_length_a 6.980
_cell_length_b 6.980
_cell_length_c 6.980
_cell_angle_alpha 132.41
_cell_angle_beta 132.41
_cell_angle_gamma 69.58
_symmetry_space_group_name_H-M 'P 1'
_symmetry_Int_Tables_number 1
loop_
_symmetry_equiv_pos_as_xyz
'x,y,z'
loop_
_atom_site_label
_atom_site_type_symbol
_atom_site_fract_x
_atom_site_fract_y
_atom_site_fract_z
Zr1 Zr 0.000 0.000 0.000
Zr2 Zr 0.750 0.250 0.500
S1 S 0.110 0.625 0.985
S2 S 0.375 0.360 0.485
S3 S 0.640 0.125 0.015
S4 S 0.875 0.890 0.515
F1 F 0.250 0.750 0.500
F2 F 0.500 0.500 0.000